MnIrCl4 | PBE-GGA | relaxed

a b c (Å): 8.0735 8.0735 8.0735
angles (deg): 90.00 90.00 90.00
Closest atoms and distances in Å follow each position.
Space group F-43m (No. 216)
Inequivalent atoms, fractional coordinates:
Mn  0.0000  0.0000  0.0000 x4  12 Cl 3.35, 4 Ir 3.50
Ir  0.2500  0.2500  0.2500 x4  12 Cl 3.35, 4 Mn 3.50
Cl  0.1242  0.1242  0.6242 x16  6 Cl 2.84-2.87

Properties
Uncorrected formation energy in eV/atom: 1.32
Spin magnetization in μB per cell: 34.023